Record 1
This record from Alexandria via LeMat-Bulk describes an optimized crystal structure of CePuZnOs. The functional is PBE-GGA.

a = 6.969 Å, b = 6.969 Å, c = 6.969 Å
α = 90.00°, β = 90.00°, γ = 90.00°
Fractional coordinates of all 16 atoms:
1 Ce 0.000 0.000 0.000
2 Ce 0.000 0.500 0.500
3 Ce 0.500 0.000 0.500
4 Ce 0.500 0.500 0.000
5 Pu 0.000 0.000 0.500
6 Pu 0.000 0.500 0.000
7 Pu 0.500 0.000 0.000
8 Pu 0.500 0.500 0.500
9 Zn 0.250 0.250 0.750
10 Zn 0.250 0.750 0.250
11 Zn 0.750 0.250 0.250
12 Zn 0.750 0.750 0.750
13 Os 0.250 0.250 0.250
14 Os 0.250 0.750 0.750
15 Os 0.750 0.250 0.750
16 Os 0.750 0.750 0.250

## Properties
V = 21.15 A^3/atom
E = -8.29 eV per atom
M_tot = 5.31 μB/f.u.
Symmetry = No. 216
Energy of formation from the pure elements = -0.10 eV per atom

---

Record 2
This record from Alexandria via LeMat-Bulk describes an optimized crystal structure of RbCe2Os. The functional is PBE-GGA.

a = 4.151 Å, b = 4.151 Å, c = 33.780 Å
α = 90.00°, β = 90.00°, γ = 120.00°
Fractional coordinates of all 12 atoms:
1 Rb 0.000 0.000 0.000
2 Rb 0.333 0.667 0.667
3 Rb 0.667 0.333 0.333
4 Ce 0.000 0.000 0.125
5 Ce 0.000 0.000 0.875
6 Ce 0.333 0.667 0.542
7 Ce 0.333 0.667 0.791
8 Ce 0.667 0.333 0.209
9 Ce 0.667 0.333 0.458
10 Os 0.000 0.000 0.500
11 Os 0.333 0.667 0.167
12 Os 0.667 0.333 0.833

## Properties
V = 42.00 A^3/atom
E = -5.90 eV per atom
M_tot = 1.54 μB/f.u.
Symmetry = No. 166
Energy of formation from the pure elements = 0.11 eV per atom

---

Record 3
This record from Alexandria via LeMat-Bulk describes an optimized crystal structure of Ce2ReOs. The functional is PBE-GGA.

a = 2.920 Å, b = 2.920 Å, c = 31.346 Å
α = 90.00°, β = 90.00°, γ = 120.00°
Fractional coordinates of all 12 atoms:
1 Ce 0.000 0.000 0.088
2 Ce 0.000 0.000 0.912
3 Ce 0.333 0.667 0.579
4 Ce 0.333 0.667 0.755
5 Ce 0.667 0.333 0.245
6 Ce 0.667 0.333 0.421
7 Re 0.000 0.000 0.000
8 Re 0.333 0.667 0.667
9 Re 0.667 0.333 0.333
10 Os 0.000 0.000 0.500
11 Os 0.333 0.667 0.167
12 Os 0.667 0.333 0.833

## Properties
V = 19.28 A^3/atom
E = -8.34 eV per atom
M_tot = 0.00 μB/f.u.
Symmetry = No. 166
Energy of formation from the pure elements = 0.54 eV per atom